[1]
Material: NdGdPu
Method: DFT, GGA-PBE
State: optimized geometry Values from VASP.

ΔE_f: 231 meV per atom

Structure (Quantum ESPRESSO input):
```
&SYSTEM
  ibrav = 0, nat = 3, ntyp = 3
/
ATOMIC_SPECIES
Gd 157.25 Gd.upf
Nd 144.24 Nd.upf
Pu 244.00 Pu.upf
ATOMIC_POSITIONS crystal
Gd 0.1680 0.0000 0.0000
Nd 0.1655 0.6667 0.3333
Pu 0.6665 0.3333 0.6667
CELL_PARAMETERS angstrom
-0.1100 2.3615 2.3643
-4.6251 2.2573 -2.4699
-0.5806 -4.0314 3.9997
```

[2]
Material: Hf2SnH2
Method: DFT, GGA-PBE
State: optimized geometry Values from VASP.

electronic total energy: -31.75 eV for the cell shown

Structure (Quantum ESPRESSO input):
```
&SYSTEM
  ibrav = 0, nat = 5, ntyp = 3
/
ATOMIC_SPECIES
Hf 178.49 Hf.upf
Sn 118.71 Sn.upf
H 1.01 H.upf
ATOMIC_POSITIONS crystal
Hf 0.2000 0.6841 0.3689
Hf 0.7000 0.3441 0.6876
Sn 0.2000 0.9725 0.9443
H 0.2000 0.2626 0.5254
H 0.7000 0.7366 0.4738
CELL_PARAMETERS angstrom
3.9189 0.0000 0.0000
0.0000 3.6107 -0.0139
0.0000 -1.7855 5.4095
```

[3]
Material: ZrGeTeI2
Method: DFT, GGA-PBE
State: optimized geometry Values from VASP.

formation energy from raw total energies: 0.0745 eV/atom

Structure (Quantum ESPRESSO input):
```
&SYSTEM
  ibrav = 0, nat = 5, ntyp = 4
/
ATOMIC_SPECIES
I 126.90 I.upf
Ge 72.64 Ge.upf
Te 127.60 Te.upf
Zr 91.22 Zr.upf
ATOMIC_POSITIONS crystal
I 0.0000 0.5000 0.0000
I 0.5000 0.0000 0.0000
Ge 0.5000 0.5000 0.5000
Te 0.0000 0.0000 0.5000
Zr 0.0000 0.0000 0.0000
CELL_PARAMETERS angstrom
5.7232 0.0000 0.0000
0.0000 5.7232 0.0000
0.0000 0.0000 5.6633
```

[4]
Material: Tb6Zn5Os
Method: DFT, GGA-PBE
State: optimized geometry Values from VASP.

ΔE_f: -350 meV per atom

Structure (Quantum ESPRESSO input):
```
&SYSTEM
  ibrav = 0, nat = 12, ntyp = 3
/
ATOMIC_SPECIES
Tb 158.93 Tb.upf
Zn 65.41 Zn.upf
Os 190.23 Os.upf
ATOMIC_POSITIONS crystal
Tb 0.8400 0.7563 0.3193
Tb 0.8400 0.2437 0.3193
Tb 0.5000 0.2369 0.0000
Tb 0.5000 0.7631 0.0000
Tb 0.1600 0.7563 0.6807
Tb 0.1600 0.2437 0.6807
Zn 0.6683 0.5000 0.6642
Zn 0.3251 0.0000 0.3494
Zn 0.0000 0.5000 0.0000
Zn 0.6749 0.0000 0.6506
Zn 0.3317 0.5000 0.3358
Os 0.0000 0.0000 0.0000
CELL_PARAMETERS angstrom
-3.5233 3.3639 1.1897
-2.4708 -0.2159 -6.7071
-6.4430 -3.8833 2.4985
```

[5]
Material: Na2TiPSe5
Method: DFT, GGA-PBE
State: optimized geometry Values from VASP.

formation energy from raw total energies: -0.7523 eV/atom

Structure (Quantum ESPRESSO input):
```
&SYSTEM
  ibrav = 0, nat = 18, ntyp = 4
/
ATOMIC_SPECIES
Na 22.99 Na.upf
Ti 47.87 Ti.upf
P 30.97 P.upf
Se 78.96 Se.upf
ATOMIC_POSITIONS crystal
Na 0.8884 0.7768 0.8281
Na 0.1292 0.2584 0.6742
Na 0.1116 0.2232 0.3281
Na 0.8708 0.7416 0.1742
Ti 0.7870 0.5740 0.5454
Ti 0.2130 0.4260 0.0454
P 0.5708 0.1416 0.9225
P 0.4292 0.8584 0.4225
Se 0.3407 0.6813 0.0012
Se 0.6949 0.3898 0.8959
Se 0.5133 0.0265 0.7708
Se 0.3023 0.6047 0.6705
Se 0.9469 0.8938 0.5155
Se 0.6593 0.3187 0.5012
Se 0.3051 0.6102 0.3959
Se 0.4867 0.9735 0.2708
Se 0.6977 0.3953 0.1705
Se 0.0531 0.1062 0.0155
CELL_PARAMETERS angstrom
3.9830 0.0000 0.0000
-1.9915 8.9978 0.0000
0.0000 0.0000 12.7090
```

[6]
Material: Pa2Au5O12
Method: DFT, GGA-PBE
State: optimized geometry Values from VASP.

formation energy from raw total energies: -1.0908 eV/atom

Structure (Quantum ESPRESSO input):
```
&SYSTEM
  ibrav = 0, nat = 19, ntyp = 3
/
ATOMIC_SPECIES
Pa 231.04 Pa.upf
Au 196.97 Au.upf
O 16.00 O.upf
ATOMIC_POSITIONS crystal
Pa 0.7497 0.0000 0.0000
Pa 0.2503 0.0000 0.0000
Au 0.2672 0.5344 0.5001
Au 0.2501 0.5001 0.0000
Au 0.0000 0.0000 0.5000
Au 0.7499 0.4999 0.0000
Au 0.7328 0.4656 0.4999
O 0.9922 0.9844 0.1483
O 0.0599 0.6200 0.8987
O 0.5600 0.6200 0.8987
O 0.0674 0.7076 0.4985
O 0.6402 0.7076 0.4985
O 0.5065 0.0130 0.8518
O 0.4935 0.9870 0.1482
O 0.9326 0.2924 0.5015
O 0.3598 0.2924 0.5015
O 0.9401 0.3800 0.1013
O 0.4400 0.3800 0.1013
O 0.0078 0.0156 0.8517
CELL_PARAMETERS angstrom
6.5700 0.0000 0.0000
-3.2850 5.9367 -1.6279
0.0000 0.6548 8.7185
```

[7]
Material: GaOsPb2O6
Method: DFT, GGA-PBE
State: optimized geometry Values from VASP.

formation energy from raw total energies: -1.1416 eV/atom

Structure (Quantum ESPRESSO input):
```
&SYSTEM
  ibrav = 0, nat = 20, ntyp = 4
/
ATOMIC_SPECIES
Ga 69.72 Ga.upf
Os 190.23 Os.upf
Pb 207.20 Pb.upf
O 16.00 O.upf
ATOMIC_POSITIONS crystal
Ga 0.0000 0.7484 0.5000
Ga 0.5000 0.2516 0.0000
Os 0.5000 0.2508 0.5000
Os 0.0000 0.7492 0.0000
Pb 0.5000 0.7545 0.2502
Pb 0.0000 0.2455 0.7502
Pb 0.5000 0.7545 0.7498
Pb 0.0000 0.2455 0.2498
O 0.5000 0.2462 0.2512
O 0.5000 0.2462 0.7488
O 0.0000 0.7538 0.2488
O 0.0000 0.7538 0.7512
O 0.2513 0.0010 0.5000
O 0.7487 0.0010 0.5000
O 0.2513 0.4987 0.5000
O 0.7487 0.4987 0.5000
O 0.7513 0.5013 0.0000
O 0.2487 0.5013 0.0000
O 0.2487 0.9990 0.0000
O 0.7513 0.9990 0.0000
CELL_PARAMETERS angstrom
-2.5772 2.1767 -4.5187
0.6542 -4.8920 -2.7296
-7.0294 -2.5040 2.8029
```

[8]
Material: BaMn2Os
Method: DFT, GGA-PBE
State: optimized geometry Values from VASP.

ΔE_f: 764 meV per atom

Structure (Quantum ESPRESSO input):
```
&SYSTEM
  ibrav = 0, nat = 4, ntyp = 3
/
ATOMIC_SPECIES
Ba 137.33 Ba.upf
Mn 54.94 Mn.upf
Os 190.23 Os.upf
ATOMIC_POSITIONS crystal
Ba 0.3114 0.8114 0.5000
Mn 0.0251 0.0251 0.0000
Mn 0.6499 0.1499 0.5000
Os 0.5137 0.5137 0.0000
CELL_PARAMETERS angstrom
-0.8770 -7.2097 2.0308
4.2629 -6.0131 1.5945
-2.4215 7.1093 0.6837
```

[9]
Material: Ac3Ga2HgAu6
Method: DFT, GGA-PBE
State: optimized geometry Values from VASP.

ΔE_f: -497 meV per atom

Structure (Quantum ESPRESSO input):
```
&SYSTEM
  ibrav = 0, nat = 12, ntyp = 4
/
ATOMIC_SPECIES
Ac 227.00 Ac.upf
Ga 69.72 Ga.upf
Hg 200.59 Hg.upf
Au 196.97 Au.upf
ATOMIC_POSITIONS crystal
Ac 0.3333 0.6667 0.6410
Ac 0.6667 0.3333 0.3590
Ac 0.0000 0.0000 0.0000
Ga 0.6667 0.3333 0.9705
Ga 0.3333 0.6667 0.0295
Hg 0.0000 0.0000 0.5000
Au 0.6298 0.8149 0.2768
Au 0.1851 0.3702 0.2768
Au 0.1851 0.8149 0.2768
Au 0.8149 0.6298 0.7232
Au 0.3702 0.1851 0.7232
Au 0.8149 0.1851 0.7232
CELL_PARAMETERS angstrom
-1.8198 -1.2861 -6.1304
-0.9524 -4.4385 4.6840
-7.7591 3.3532 1.5998
```

[10]
Material: CoAuC3
Method: DFT, GGA-PBE
State: optimized geometry Values from VASP.

ΔE_f: 2203 meV per atom

Structure (Quantum ESPRESSO input):
```
&SYSTEM
  ibrav = 0, nat = 5, ntyp = 3
/
ATOMIC_SPECIES
Co 58.93 Co.upf
C 12.01 C.upf
Au 196.97 Au.upf
ATOMIC_POSITIONS crystal
Co 0.0000 0.0000 0.0000
C 0.0000 0.5000 0.0000
C 0.0000 0.0000 0.5000
C 0.5000 0.0000 0.0000
Au 0.5000 0.5000 0.5000
CELL_PARAMETERS angstrom
3.7937 0.0000 0.0000
0.0000 3.7937 0.0000
0.0000 0.0000 3.7937
```

[11]
Material: Re3Se2
Method: DFT, GGA-PBE
State: optimized geometry Values from VASP.

formation energy from raw total energies: 0.3950 eV/atom

Structure (Quantum ESPRESSO input):
```
&SYSTEM
  ibrav = 0, nat = 5, ntyp = 2
/
ATOMIC_SPECIES
Re 186.21 Re.upf
Se 78.96 Se.upf
ATOMIC_POSITIONS crystal
Re 0.0000 0.0000 0.0000
Re 0.8010 0.8010 0.8010
Re 0.1990 0.1990 0.1990
Se 0.3956 0.3956 0.3956
Se 0.6044 0.6044 0.6044
CELL_PARAMETERS angstrom
10.4389 -1.4791 0.0026
10.4389 1.4791 0.0026
10.2287 0.0000 2.5559
```

[12]
Material: MnTe2I
Method: DFT, GGA-PBE
State: optimized geometry Values from VASP.

formation energy from raw total energies: 1.0760 eV/atom

Structure (Quantum ESPRESSO input):
```
&SYSTEM
  ibrav = 0, nat = 4, ntyp = 3
/
ATOMIC_SPECIES
I 126.90 I.upf
Te 127.60 Te.upf
Mn 54.94 Mn.upf
ATOMIC_POSITIONS crystal
I 0.5000 0.5000 0.5000
Te 0.2500 0.2500 0.2500
Te 0.7500 0.7500 0.7500
Mn 0.0000 0.0000 0.0000
CELL_PARAMETERS angstrom
0.0000 3.6378 3.6378
3.6378 0.0000 3.6378
3.6378 3.6378 0.0000
```